Record 1
{"formula": "TlMoCl", "functional": "PBE", "state": "optimized geometry", "relative_energy_mev_per_atom": 0, "formation_energy_uncorrected_ev_per_atom": 0.163, "dos_ef_per_ev_atom": 0.832, "dft_energy_ev_per_atom": -4.852, "magnetic_moment_mub_per_fu": 0.00, "cell": [[3.1445, 0.0000, 0.0000], [-1.5722, 2.7232, 0.0000], [0.0000, 0.0000, 8.0268]], "species": ["Tl", "Mo", "Cl"], "fractional_positions": [[0.0000, 0.0000, 0.0000], [0.6667, 0.3333, 0.6747], [0.3333, 0.6667, 0.4760]]}

=====

Record 2
{"formula": "AcGa4Hg8", "functional": "PBE", "state": "optimized geometry", "dos_ef_per_ev_atom": 0.368, "dft_energy_ev_per_atom": -1.507, "magnetic_moment_mub_per_fu": 0.00, "formation_enthalpy_0k_mev_per_atom": -73, "cell": [[-5.2047, 5.2047, 2.8801], [5.2047, -5.2047, 2.8801], [5.2047, 5.2047, -2.8801]], "species": ["Ac", "Ga", "Ga", "Ga", "Ga", "Hg", "Hg", "Hg", "Hg", "Hg", "Hg", "Hg", "Hg"], "fractional_positions": [[0.0000, 0.0000, 0.0000], [0.0000, 0.0000, 0.5000], [0.0000, 0.5000, 0.0000], [0.5000, 0.0000, 0.0000], [0.5000, 0.5000, 0.5000], [0.0000, 0.3488, 0.3488], [0.0000, 0.6512, 0.6512], [0.2866, 0.5000, 0.7866], [0.3488, 0.0000, 0.3488], [0.5000, 0.2866, 0.7866], [0.5000, 0.7134, 0.2134], [0.6512, 0.0000, 0.6512], [0.7134, 0.5000, 0.2134]]}

=====

Record 3
{"formula": "BaLa2Cd2Sn2", "functional": "PBE", "state": "optimized geometry", "dos_ef_per_ev_atom": 0.957, "dft_energy_ev_per_atom": -3.501, "magnetic_moment_mub_per_fu": 0.01, "formation_enthalpy_0k_mev_per_atom": -414, "cell": [[2.5711, 1.4844, 9.9872], [-2.5711, 1.4844, 9.9872], [0.0000, -2.9688, 9.9872]], "species": ["Ba", "La", "La", "Cd", "Cd", "Sn", "Sn"], "fractional_positions": [[0.0000, 0.0000, 0.0000], [0.1342, 0.1342, 0.1342], [0.8658, 0.8658, 0.8658], [0.4234, 0.4234, 0.4234], [0.5766, 0.5766, 0.5766], [0.2559, 0.2559, 0.2559], [0.7441, 0.7441, 0.7441]]}

=====

Record 4
{"formula": "SnPbO3", "functional": "PBE", "state": "optimized geometry", "formation_energy_uncorrected_ev_per_atom": -1.338, "dos_ef_per_ev_atom": 0.000, "dft_energy_ev_per_atom": -5.855, "magnetic_moment_mub_per_fu": 0.00, "cell": [[4.0883, 0.0000, 0.0000], [0.0000, 4.0883, 0.0000], [0.0000, 0.0000, 4.0883]], "species": ["Sn", "Pb", "O", "O", "O"], "fractional_positions": [[0.0000, 0.0000, 0.0000], [0.5000, 0.5000, 0.5000], [0.0000, 0.0000, 0.5000], [0.0000, 0.5000, 0.0000], [0.5000, 0.0000, 0.0000]]}

=====

Record 5
{"formula": "Sr2TcTe", "functional": "PBE", "state": "optimized geometry", "formation_energy_uncorrected_ev_per_atom": -0.035, "dos_ef_per_ev_atom": 0.804, "dft_energy_ev_per_atom": -4.253, "magnetic_moment_mub_per_fu": 1.02, "cell": [[6.2232, -1.8354, 0.0000], [6.2232, 1.8354, 0.0000], [-1.7906, 0.0000, 5.1718]], "species": ["Sr", "Sr", "Tc", "Te"], "fractional_positions": [[0.0000, 0.0000, 0.0000], [0.2032, 0.2032, 0.6556], [0.7682, 0.7682, 0.2052], [0.4249, 0.4249, 0.4387]]}

=====

Record 6
{"formula": "LiNiH", "functional": "PBE", "state": "optimized geometry", "dos_ef_per_ev_atom": 0.436, "dft_energy_ev_per_atom": -3.799, "magnetic_moment_mub_per_fu": 0.00, "cell": [[4.7998, -1.2719, 0.0000], [4.7998, 1.2719, 0.0000], [-2.1016, 0.0000, 4.2255]], "species": ["Li", "Li", "Ni", "Ni", "H", "H"], "fractional_positions": [[0.0015, 0.0015, 0.2571], [0.9985, 0.9985, 0.7429], [0.2577, 0.2577, 0.2666], [0.7423, 0.7423, 0.7334], [0.3366, 0.3366, 0.9791], [0.6634, 0.6634, 0.0209]]}